# 1
The following is a PBE calculation of a geometry-optimized CsHPd3 structure, from Alexandria via LeMat-Bulk.

Properties
Energy above the lowest structure with this stoichiometry ... 695.8 kJ/mol of formula units
Density of states at the Fermi level ... 1.4 states/eV/f.u.

```
data_CsHPd3
_chemical_formula_sum 'Cs1 H1 Pd3'
_cell_length_a 5.3994
_cell_length_b 5.3994
_cell_length_c 5.3994
_cell_angle_alpha 90.00
_cell_angle_beta 90.00
_cell_angle_gamma 90.00
_symmetry_space_group_name_H-M 'P m -3 m'
_symmetry_Int_Tables_number 221
_symmetry_space_group_name_Hall '-P 4 2 3'
loop_
_atom_site_label
_atom_site_type_symbol
_atom_site_fract_x
_atom_site_fract_y
_atom_site_fract_z
Cs1 Cs 0.0000 0.0000 0.0000
H1 H 0.5000 0.5000 0.5000
Pd1 Pd 0.0000 0.0000 0.5000
```

---

# 2
The following is a PBE calculation of a geometry-optimized Cs8H8Pd3 structure, from Alexandria via LeMat-Bulk.

Properties
Electronic total energy ... -53.0 eV/f.u.

```
data_Cs8H8Pd3
_chemical_formula_sum 'Cs16 H16 Pd6'
_cell_length_a 21.7445
_cell_length_b 6.0218
_cell_length_c 8.8268
_cell_angle_alpha 90.00
_cell_angle_beta 107.59
_cell_angle_gamma 90.00
_symmetry_space_group_name_H-M 'C 1 2/m 1'
_symmetry_Int_Tables_number 12
loop_
_symmetry_equiv_pos_as_xyz
'x,y,z'
'-x,-y,-z'
'-x,y,-z'
'x,-y,z'
'x+1/2,y+1/2,z'
'-x+1/2,-y+1/2,-z'
'-x+1/2,y+1/2,-z'
'x+1/2,-y+1/2,z'
loop_
_atom_site_label
_atom_site_type_symbol
_atom_site_fract_x
_atom_site_fract_y
_atom_site_fract_z
Cs1 Cs 0.0228 0.0000 0.2740
Cs2 Cs 0.1134 0.5000 0.9575
Cs3 Cs 0.1654 0.5000 0.4568
Cs4 Cs 0.2046 0.0000 0.7874
H1 H 0.0095 0.5000 0.3163
H2 H 0.1160 0.0000 0.0111
H3 H 0.1798 0.0000 0.3894
H4 H 0.2422 0.5000 0.8376
Pd1 Pd 0.0000 0.5000 0.5000
Pd2 Pd 0.1798 0.0000 0.1906
```

---

# 3
The following is a PBE calculation of a geometry-optimized Cs2H2Pd structure, from Alexandria via LeMat-Bulk.

Properties
Electronic total energy ... -14.7 eV/f.u.

```
data_Cs2H2Pd
_chemical_formula_sum 'Cs4 H4 Pd2'
_cell_length_a 7.6336
_cell_length_b 8.7735
_cell_length_c 4.3617
_cell_angle_alpha 90.00
_cell_angle_beta 90.00
_cell_angle_gamma 90.00
_symmetry_space_group_name_H-M 'P b a m'
_symmetry_Int_Tables_number 55
loop_
_symmetry_equiv_pos_as_xyz
'x,y,z'
'-x,-y,-z'
'-x,-y,z'
'x,y,-z'
'x+1/2,-y+1/2,-z'
'-x+1/2,y+1/2,z'
'-x+1/2,y+1/2,-z'
'x+1/2,-y+1/2,z'
loop_
_atom_site_label
_atom_site_type_symbol
_atom_site_fract_x
_atom_site_fract_y
_atom_site_fract_z
Cs1 Cs 0.1917 0.1842 0.0000
H1 H 0.2128 0.4402 0.5000
Pd1 Pd 0.0000 0.5000 0.5000
```

---

# 4
The following is a PBE calculation of a geometry-optimized CsPrH6Pd2 structure, from Alexandria via LeMat-Bulk.

Properties
Electronic total energy ... -39.5 eV/f.u.

```
data_CsPrH6Pd2
_chemical_formula_sum 'Cs4 Pr4 H24 Pd8'
_cell_length_a 9.4934
_cell_length_b 9.4257
_cell_length_c 8.0055
_cell_angle_alpha 90.00
_cell_angle_beta 114.05
_cell_angle_gamma 90.00
_symmetry_space_group_name_H-M 'C 1 2/c 1'
_symmetry_Int_Tables_number 15
loop_
_symmetry_equiv_pos_as_xyz
'x,y,z'
'-x,-y,-z'
'-x,y,-z+1/2'
'x,-y,z+1/2'
'x+1/2,y+1/2,z'
'-x+1/2,-y+1/2,-z'
'-x+1/2,y+1/2,-z+1/2'
'x+1/2,-y+1/2,z+1/2'
loop_
_atom_site_label
_atom_site_type_symbol
_atom_site_fract_x
_atom_site_fract_y
_atom_site_fract_z
Cs1 Cs 0.0000 0.0770 0.2500
Pr1 Pr 0.0000 0.4568 0.7500
H1 H 0.0180 0.3538 0.4683
H2 H 0.1391 0.2201 0.8984
H3 H 0.2369 0.4250 0.2966
Pd1 Pd 0.1793 0.3224 0.1005
```

---

# 5
The following is a PBE calculation of a geometry-optimized Cs3RbH8Pd2 structure, from Alexandria via LeMat-Bulk.

Properties
Density of states at the Fermi level ... 2.1 states/eV/f.u.
Electronic total energy ... -40.6 eV/f.u.

```
data_Cs3RbH8Pd2
_chemical_formula_sum 'Cs3 Rb1 H8 Pd2'
_cell_length_a 6.7889
_cell_length_b 6.7889
_cell_length_c 8.1529
_cell_angle_alpha 90.00
_cell_angle_beta 90.00
_cell_angle_gamma 120.00
_symmetry_space_group_name_H-M 'P -3 m 1'
_symmetry_Int_Tables_number 164
_symmetry_space_group_name_Hall '-P 3 2"'
loop_
_atom_site_label
_atom_site_type_symbol
_atom_site_fract_x
_atom_site_fract_y
_atom_site_fract_z
Cs1 Cs 0.0000 0.0000 0.0000
Cs2 Cs 0.3333 0.6667 0.6863
Rb1 Rb 0.0000 0.0000 0.5000
H1 H 0.1857 0.3714 0.2774
H2 H 0.3333 0.6667 0.1077
Pd1 Pd 0.3333 0.6667 0.2928
```

---

# 6
The following is a PBE calculation of a geometry-optimized CsRb3H6Pd2 structure, from Alexandria via LeMat-Bulk.

Properties
Density of states at the Fermi level ... 7.2 states/eV/f.u.
Electronic total energy ... -34.7 eV/f.u.

```
data_CsRb3H6Pd2
_chemical_formula_sum 'Cs1 Rb3 H6 Pd2'
_cell_length_a 6.3731
_cell_length_b 6.3731
_cell_length_c 8.4011
_cell_angle_alpha 90.00
_cell_angle_beta 90.00
_cell_angle_gamma 120.00
_symmetry_space_group_name_H-M 'P -3 m 1'
_symmetry_Int_Tables_number 164
_symmetry_space_group_name_Hall '-P 3 2"'
loop_
_atom_site_label
_atom_site_type_symbol
_atom_site_fract_x
_atom_site_fract_y
_atom_site_fract_z
Cs1 Cs 0.0000 0.0000 0.0000
Rb1 Rb 0.0000 0.0000 0.5000
Rb2 Rb 0.3333 0.6667 0.3027
H1 H 0.1797 0.3593 0.7290
Pd1 Pd 0.3333 0.6667 0.7287
```

---

# 7
The following is a PBE calculation of a geometry-optimized CsRbH4Pd structure, from Alexandria via LeMat-Bulk.

Properties
Density of states at the Fermi level ... 0.0 states/eV/f.u.
Electronic total energy ... -21.5 eV/f.u.

```
data_CsRbH4Pd
_chemical_formula_sum 'Cs4 Rb4 H16 Pd4'
_cell_length_a 5.7406
_cell_length_b 14.3944
_cell_length_c 5.7088
_cell_angle_alpha 90.00
_cell_angle_beta 90.00
_cell_angle_gamma 90.00
_symmetry_space_group_name_H-M 'C m c m'
_symmetry_Int_Tables_number 63
_symmetry_space_group_name_Hall '-C 2c 2'
loop_
_atom_site_label
_atom_site_type_symbol
_atom_site_fract_x
_atom_site_fract_y
_atom_site_fract_z
Cs1 Cs 0.0000 0.0987 0.2500
Rb1 Rb 0.0000 0.3847 0.2500
H1 H 0.0000 0.1332 0.7500
H2 H 0.0000 0.3698 0.7500
H3 H 0.2500 0.2500 0.0000
Pd1 Pd 0.0000 0.2511 0.7500
```

---

# 8
The following is a PBE calculation of a geometry-optimized Cs3RbH6Pd2 structure, from Alexandria via LeMat-Bulk.

Properties
Density of states at the Fermi level ... 8.0 states/eV/f.u.
Electronic total energy ... -34.6 eV/f.u.

```
data_Cs3RbH6Pd2
_chemical_formula_sum 'Cs3 Rb1 H6 Pd2'
_cell_length_a 6.6397
_cell_length_b 6.6397
_cell_length_c 7.8888
_cell_angle_alpha 90.00
_cell_angle_beta 90.00
_cell_angle_gamma 120.00
_symmetry_space_group_name_H-M 'P -3 m 1'
_symmetry_Int_Tables_number 164
_symmetry_space_group_name_Hall '-P 3 2"'
loop_
_atom_site_label
_atom_site_type_symbol
_atom_site_fract_x
_atom_site_fract_y
_atom_site_fract_z
Cs1 Cs 0.0000 0.0000 0.0000
Cs2 Cs 0.3333 0.6667 0.7192
Rb1 Rb 0.0000 0.0000 0.5000
H1 H 0.1852 0.3703 0.2678
Pd1 Pd 0.3333 0.6667 0.2637
```

---

# 9
The following is a PBE calculation of a geometry-optimized CsH6PdRh structure, from Alexandria via LeMat-Bulk.

Properties
Density of states at the Fermi level ... 0.7 states/eV/f.u.
Electronic total energy ... -34.6 eV/f.u.

```
data_CsH6PdRh
_chemical_formula_sum 'Cs1 H6 Pd1 Rh1'
_cell_length_a 5.0320
_cell_length_b 5.0320
_cell_length_c 5.3283
_cell_angle_alpha 89.93
_cell_angle_beta 89.94
_cell_angle_gamma 63.70
_symmetry_space_group_name_H-M 'P 1'
_symmetry_Int_Tables_number 1
loop_
_symmetry_equiv_pos_as_xyz
'x,y,z'
loop_
_atom_site_label
_atom_site_type_symbol
_atom_site_fract_x
_atom_site_fract_y
_atom_site_fract_z
Cs1 Cs 0.0000 0.0000 0.0000
H1 H 0.0492 0.6771 0.4999
H2 H 0.3244 0.9863 0.4995
H3 H 0.4922 0.4940 0.6717
H4 H 0.4943 0.4921 0.3289
H5 H 0.6772 0.0491 0.5011
H6 H 0.9864 0.3244 0.4993
Pd1 Pd 0.6779 0.6778 0.5001
Rh1 Rh 0.3301 0.3300 0.5003
```

---

# 10
The following is a PBE calculation of a geometry-optimized CsSbHPd structure, from Alexandria via LeMat-Bulk.

Properties
Energy above the lowest structure with this stoichiometry ... 36.8 kJ/mol of formula units
Density of states at the Fermi level ... 1.3 states/eV/f.u.

```
data_CsSbHPd
_chemical_formula_sum 'Cs1 Sb1 H1 Pd1'
_cell_length_a 3.7323
_cell_length_b 4.2253
_cell_length_c 6.5061
_cell_angle_alpha 90.00
_cell_angle_beta 100.61
_cell_angle_gamma 90.00
_symmetry_space_group_name_H-M 'P 1 m 1'
_symmetry_Int_Tables_number 6
loop_
_symmetry_equiv_pos_as_xyz
'x,y,z'
'x,-y,z'
loop_
_atom_site_label
_atom_site_type_symbol
_atom_site_fract_x
_atom_site_fract_y
_atom_site_fract_z
Cs1 Cs 0.0000 0.0000 0.0000
Sb1 Sb 0.6748 0.5000 0.4880
H1 H 0.5690 0.5000 0.2033
Pd1 Pd 0.1922 0.0000 0.5143
```

---

# 11
The following is a PBE calculation of a geometry-optimized CsSbHPd structure, from Alexandria via LeMat-Bulk.

Properties
Energy above the lowest structure with this stoichiometry ... 0.0 kJ/mol of formula units
Density of states at the Fermi level ... 0.8 states/eV/f.u.

```
data_CsSbHPd
_chemical_formula_sum 'Cs1 Sb1 H1 Pd1'
_cell_length_a 4.6373
_cell_length_b 4.6373
_cell_length_c 5.8749
_cell_angle_alpha 90.00
_cell_angle_beta 90.00
_cell_angle_gamma 120.00
_symmetry_space_group_name_H-M 'P 3 m 1'
_symmetry_Int_Tables_number 156
loop_
_symmetry_equiv_pos_as_xyz
'x,y,z'
'-y,x-y,z'
'-x+y,-x,z'
'-y,-x,z'
'-x+y,y,z'
'x,x-y,z'
loop_
_atom_site_label
_atom_site_type_symbol
_atom_site_fract_x
_atom_site_fract_y
_atom_site_fract_z
Cs1 Cs 0.0000 0.0000 0.0000
Sb1 Sb 0.3333 0.6667 0.4937
H1 H 0.3333 0.6667 0.7952
Pd1 Pd 0.6667 0.3333 0.4721
```

---

# 12
The following is a PBE calculation of a geometry-optimized CsSbHPd structure, from Alexandria via LeMat-Bulk.

Properties
Energy above the lowest structure with this stoichiometry ... 6.9 kJ/mol of formula units
Density of states at the Fermi level ... 1.1 states/eV/f.u.

```
data_CsSbHPd
_chemical_formula_sum 'Cs2 Sb2 H2 Pd2'
_cell_length_a 9.1149
_cell_length_b 3.5720
_cell_length_c 6.4775
_cell_angle_alpha 90.00
_cell_angle_beta 100.05
_cell_angle_gamma 90.00
_symmetry_space_group_name_H-M 'C 1 m 1'
_symmetry_Int_Tables_number 8
loop_
_symmetry_equiv_pos_as_xyz
'x,y,z'
'x,-y,z'
'x+1/2,y+1/2,z'
'x+1/2,-y+1/2,z'
loop_
_atom_site_label
_atom_site_type_symbol
_atom_site_fract_x
_atom_site_fract_y
_atom_site_fract_z
Cs1 Cs 0.0000 0.0000 0.0000
Sb1 Sb 0.3458 0.0000 0.4528
H1 H 0.1053 0.0000 0.5708
Pd1 Pd 0.1442 0.5000 0.5541
```